Entry from Alexandria via LeMat-Bulk: GeAsPtSe2 at its PBEsol-relaxed geometry (meta-GGA SCAN).

Geometry as POSCAR:
```
GeAsPtSe2
1.0
4.7593 0.0000 0.0000
0.0000 4.7593 0.0000
0.0000 0.0000 4.8009
Ge As Pt Se
1 1 1 2
Direct
0.0000 0.0000 0.0000 Ge
0.0000 0.0000 0.5000 As
0.5000 0.5000 0.5000 Pt
0.0000 0.5000 0.0000 Se
0.5000 0.0000 0.0000 Se
```

Calculated values
Formation energy without anion corrections: 1.13 eV/atom
Space-group type: No. 123
Density of states at the Fermi level: 5.16 states/eV/f.u.
E_tot: -28.7984 eV per atom